No. 1
Compound: LiSm4Mg2
Source: the Alexandria database
Functional: PBE
Structure: relaxed

Lattice parameters (Å, degrees): 9.178 9.178 9.178 34.09 34.09 34.09
Fractional positions:
Li1 0.000 0.000 0.000
Sm1 0.129 0.129 0.129
Sm2 0.381 0.381 0.381
Sm3 0.619 0.619 0.619
Sm4 0.871 0.871 0.871
Mg1 0.255 0.255 0.255
Mg2 0.745 0.745 0.745

Computed properties:
The value obtained for the final energy is -3.253 eV/atom. As for the space group: No. 166. The value obtained for the density of states at the Fermi level is 12.00 states/eV per cell.

***

No. 2
Compound: Cs2Cu2AgI7
Source: the Alexandria database
Functional: PBE
Structure: relaxed

Lattice parameters (Å, degrees): 6.854 6.854 12.242 97.87 97.87 90.90
Fractional positions:
Cs1 0.239 0.239 0.322
Cs2 0.761 0.761 0.678
Cu1 0.275 0.275 0.829
Cu2 0.725 0.725 0.171
Ag1 0.000 0.000 0.000
I1 0.092 0.703 0.143
I2 0.297 0.908 0.857
I3 0.351 0.351 0.638
I4 0.500 0.500 0.000
I5 0.649 0.649 0.362
I6 0.703 0.092 0.143
I7 0.908 0.297 0.857

Computed properties:
As for the energy relative to the elements, uncorrected: -0.541 eV per atom. The value obtained for the final energy is -2.508 eV/atom. As for the space group: No. 12. The value obtained for the density of states at the Fermi level is 9.36 states/eV per cell.

***

No. 3
Compound: KMn2Ni
Source: the Alexandria database
Functional: PBE
Structure: relaxed

Lattice parameters (Å, degrees): 5.718 5.718 2.782 102.72 102.72 119.22
Fractional positions:
K1 0.000 0.000 0.000
Mn1 0.000 0.500 0.500
Mn2 0.500 0.000 0.500
Ni1 0.500 0.500 0.000

Computed properties:
For the distance to the lowest polymorph of the same formula, the calculation gives 0.480 eV per atom. The value obtained for the final energy is -5.258 eV/atom. As for the space group: No. 12. The value obtained for the density of states at the Fermi level is 3.56 states/eV per cell.